Record 1
PuCdGa | PBE | optimized geometry

a = 4.9361 Å, b = 4.9361 Å, c = 4.9361 Å
α = 60.00°, β = 60.00°, γ = 60.00°
Last column: magnetic moment on the atom in μB.
Fractional coordinates of all 3 atoms:
Cd1 0.7500 0.7500 0.7500  0.05
Ga1 0.2500 0.2500 0.2500  0.11
Pu1 0.0000 0.0000 0.0000  5.46

Summary:
total magnetization	6.03	μB per cell

---

Record 2
RbCdGa | PBE | optimized geometry

a = 5.4265 Å, b = 5.4265 Å, c = 5.4265 Å
α = 60.00°, β = 60.00°, γ = 60.00°
Fractional coordinates of all 3 atoms:
Cd1 0.2500 0.2500 0.2500
Ga1 0.0000 0.0000 0.0000
Rb1 0.7500 0.7500 0.7500

Summary:
energy above the lowest structure with this stoichiometry	0	meV/atom

---

Number 1: DFT total energy -5.7157 eV per atom. Number 2: DFT total energy -1.3707 eV per atom.